Below is a relaxed structure of Tm4Bi2SbAs, with properties calculated at the GGA-PBE level.

CIF file:
```
data_Tm4Bi2SbAs
_space_group_name_H-M_alt 'P 1 2/m 1'
_space_group_IT_number 10
_cell_length_a 7.4723
_cell_length_b 4.2931
_cell_length_c 7.5084
_cell_angle_alpha 90.00
_cell_angle_beta 109.17
_cell_angle_gamma 90.00
loop_
_space_group_symop_operation_xyz
'x,y,z'
'-x,-y,-z'
'-x,y,-z'
'x,-y,z'
loop_
_atom_site_label
_atom_site_type_symbol
_atom_site_fract_x
_atom_site_fract_y
_atom_site_fract_z
Tm1 Tm 0.2353 0.0000 0.2314
Tm2 Tm 0.2453 0.5000 0.7629
Bi1 Bi 0.0000 0.0000 0.5000
Bi2 Bi 0.5000 0.5000 0.5000
Sb1 Sb 0.5000 0.0000 0.0000
As1 As 0.0000 0.5000 0.0000
```

Calculated values
E_form (uncorrected): -1.01 eV/atom
total magnetic moment: 0.00 μB per formula unit



Below is a relaxed structure of RbReCl2, with properties calculated at the GGA-PBE level.

CIF file:
```
data_RbReCl2
_space_group_name_H-M_alt 'R -3 m'
_space_group_IT_number 166
_space_group_name_Hall '-R 3 2"'
_cell_length_a 3.2352
_cell_length_b 3.2352
_cell_length_c 28.4255
_cell_angle_alpha 90.00
_cell_angle_beta 90.00
_cell_angle_gamma 120.00
loop_
_atom_site_label
_atom_site_type_symbol
_atom_site_fract_x
_atom_site_fract_y
_atom_site_fract_z
Rb1 Rb 0.0000 0.0000 0.0000
Re1 Re 0.0000 0.0000 0.5000
Cl1 Cl 0.0000 0.0000 0.4186
```

Calculated values
E above lowest polymorph: 0.0 meV/atom
E_form (uncorrected): 0.08 eV/atom
total magnetic moment: 0.00 μB per formula unit



Below is a relaxed structure of La2PmCd5, with properties calculated at the GGA-PBE level.

CIF file:
```
data_La2PmCd5
_space_group_name_H-M_alt 'I 4/m m m'
_space_group_IT_number 139
_space_group_name_Hall '-I 4 2'
_cell_length_a 5.2403
_cell_length_b 5.2403
_cell_length_c 15.8952
_cell_angle_alpha 90.00
_cell_angle_beta 90.00
_cell_angle_gamma 90.00
loop_
_atom_site_label
_atom_site_type_symbol
_atom_site_fract_x
_atom_site_fract_y
_atom_site_fract_z
La1 La 0.0000 0.0000 0.2354
Pm1 Pm 0.0000 0.0000 0.5000
Cd1 Cd 0.0000 0.0000 0.0000
Cd2 Cd 0.0000 0.5000 0.1135
```

Calculated values
ΔH_f (0 K): -0.322 eV per atom
total magnetic moment: 0.19 μB per formula unit



Below is a relaxed structure of Pm2Dy3Pd2, with properties calculated at the GGA-PBE level.

CIF file:
```
data_Pm2Dy3Pd2
_space_group_name_H-M_alt 'C 1 2/m 1'
_space_group_IT_number 12
_cell_length_a 12.5736
_cell_length_b 3.7429
_cell_length_c 9.1488
_cell_angle_alpha 90.00
_cell_angle_beta 117.40
_cell_angle_gamma 90.00
loop_
_space_group_symop_operation_xyz
'x,y,z'
'-x,-y,-z'
'-x,y,-z'
'x,-y,z'
'x+1/2,y+1/2,z'
'-x+1/2,-y+1/2,-z'
'-x+1/2,y+1/2,-z'
'x+1/2,-y+1/2,z'
loop_
_atom_site_label
_atom_site_type_symbol
_atom_site_fract_x
_atom_site_fract_y
_atom_site_fract_z
Pm1 Pm 0.1549 0.0000 0.3127
Dy1 Dy 0.0000 0.5000 0.5000
Dy2 Dy 0.1150 0.5000 0.9416
Pd1 Pd 0.1653 0.0000 0.7386
```

Calculated values
E above lowest polymorph: 0.0 meV/atom
ΔH_f (0 K): -0.515 eV per atom
total magnetic moment: 0.00 μB per formula unit



Below is a relaxed structure of Sc2AsRu, with properties calculated at the GGA-PBE level.

CIF file:
```
data_Sc2AsRu
_space_group_name_H-M_alt 'P 4/m m m'
_space_group_IT_number 123
_space_group_name_Hall '-P 4 2'
_cell_length_a 3.3909
_cell_length_b 3.3909
_cell_length_c 6.1435
_cell_angle_alpha 90.00
_cell_angle_beta 90.00
_cell_angle_gamma 90.00
loop_
_atom_site_label
_atom_site_type_symbol
_atom_site_fract_x
_atom_site_fract_y
_atom_site_fract_z
Sc1 Sc 0.0000 0.0000 0.2475
As1 As 0.5000 0.5000 0.5000
Ru1 Ru 0.5000 0.5000 0.0000
```

Calculated values
ΔH_f (0 K): -0.791 eV per atom
total magnetic moment: 0.03 μB per formula unit



Below is a relaxed structure of SrLa2Bi, with properties calculated at the GGA-PBE level.

CIF file:
```
data_SrLa2Bi
_space_group_name_H-M_alt 'R 3 m'
_space_group_IT_number 160
_space_group_name_Hall 'R 3 -2"'
_cell_length_a 4.3958
_cell_length_b 4.3958
_cell_length_c 31.8584
_cell_angle_alpha 90.00
_cell_angle_beta 90.00
_cell_angle_gamma 120.00
loop_
_atom_site_label
_atom_site_type_symbol
_atom_site_fract_x
_atom_site_fract_y
_atom_site_fract_z
Sr1 Sr 0.0000 0.0000 0.0000
La1 La 0.0000 0.0000 0.5627
La2 La 0.0000 0.0000 0.7707
Bi1 Bi 0.0000 0.0000 0.1665
```

Calculated values
ΔH_f (0 K): -0.311 eV per atom
total magnetic moment: 1.45 μB per formula unit



Below is a relaxed structure of ZnP2H7NO8, with properties calculated at the GGA-PBE level.

CIF file:
```
data_ZnP2H7NO8
_space_group_name_H-M_alt 'P 1 21/c 1'
_space_group_IT_number 14
_cell_length_a 7.7650
_cell_length_b 13.2360
_cell_length_c 9.6963
_cell_angle_alpha 90.00
_cell_angle_beta 125.12
_cell_angle_gamma 90.00
loop_
_space_group_symop_operation_xyz
'x,y,z'
'-x,-y,-z'
'-x,y+1/2,-z+1/2'
'x,-y+1/2,z+1/2'
loop_
_atom_site_label
_atom_site_type_symbol
_atom_site_fract_x
_atom_site_fract_y
_atom_site_fract_z
Zn1 Zn 0.1571 0.0135 0.2566
P1 P 0.1416 0.1577 0.9823
P2 P 0.3880 0.0373 0.6452
H1 H 0.1044 0.1748 0.4312
H2 H 0.1612 0.7046 0.4566
H3 H 0.2500 0.0849 0.7876
H4 H 0.3002 0.7465 0.8884
H5 H 0.3103 0.6885 0.0475
H6 H 0.4272 0.6962 0.5779
H7 H 0.4842 0.1306 0.1885
N1 N 0.2996 0.7415 0.4927
O1 O 0.0220 0.2421 0.3896
O2 O 0.0679 0.1244 0.0924
O3 O 0.0887 0.0784 0.8458
O4 O 0.2061 0.0719 0.4641
O5 O 0.3660 0.1018 0.7735
O6 O 0.3680 0.5759 0.1667
O7 O 0.3821 0.1820 0.0879
O8 O 0.3966 0.5693 0.8125
```

Calculated values
total magnetic moment: 0.00 μB per formula unit
total energy: -5.845 eV per atom



DOS at the Fermi energy values (in states/eV/f.u.) by entry order: 1.20 1.78 5.83 8.25 3.15 5.97 0.00.